Density functional theory data (GGA-PBE) for an optimized crystal structure of ScNi10B2.

It has space group Fmmm (No. 69), with a = 4.567 Å, b = 10.777 Å, c = 11.336 Å, α = 90.00°, β = 90.00° and γ = 90.00°. The distinct sites, in fractional coordinates, are Sc at (0.000, 0.000, 0.000), Ni at (0.000, 0.105, 0.380), Ni at (0.000, 0.160, 0.179), Ni at (0.250, 0.250, 0.000) and B at (0.250, 0.000, 0.250).

The value obtained for the density of states at the Fermi level is 16.50 states/eV/f.u. The total energy is -6.13 eV/atom.


Density functional theory data (GGA-PBE) for an optimized crystal structure of Cs3Rb3CrBr8.

It has space group R-3m (No. 166, hexagonal axes), with a = 9.8317 Å, b = 9.8317 Å, c = 24.8602 Å, α = 90.00°, β = 90.00° and γ = 120.00°. The distinct sites, in fractional coordinates, are Cs at (0.0000, 0.5000, 0.0000), Rb at (0.0000, 0.5000, 0.5000), Cr at (0.0000, 0.0000, 0.5000), Br at (0.0000, 0.0000, 0.2449) and Br at (0.0677, 0.5338, 0.2298).

The value obtained for the density of states at the Fermi level is 7.09 states/eV/f.u. As for the uncorrected formation energy: -1510 meV/atom. The total energy is -3.41 eV/atom.